Here is TaFeSi2N after structural relaxation from Alexandria. Energies are from PBE.

## Properties
- Formation energy from raw total energies: 1.04 eV per formula unit
- Density of states at the Fermi level: 4.4 states/eV/cell
- Space-group type: P4/mmm (123)

a = 4.251 Å, b = 4.251 Å, c = 3.489 Å
α = 90.00°, β = 90.00°, γ = 90.00°
Fractional coordinates of all 5 atoms:
Si 0.000 0.500 0.000
Si 0.500 0.000 0.000
N 0.000 0.000 0.000
Fe 0.000 0.000 0.500
Ta 0.500 0.500 0.500


Here is EuLuPu after structural relaxation from Alexandria. Energies are from PBE.

## Properties
- Calculated total energy: -0.3492 Ha/atom
- Density of states at the Fermi level: 9.8 states/eV/cell
- Space-group type: I4mm (107)

a = 3.507 Å, b = 3.507 Å, c = 8.007 Å
α = 102.65°, β = 102.65°, γ = 90.00°
Last column: magnetic moment on the atom in μB.
Fractional coordinates of all 3 atoms:
Lu 0.674 0.674 0.348  -0.07
Eu 0.001 0.001 0.002  6.88
Pu 0.325 0.325 0.650  -5.61


Here is SrSnAu after structural relaxation from Alexandria. Energies are from PBE.

## Properties
- Calculated total energy: -0.1372 Ha/atom
- Density of states at the Fermi level: 8.5 states/eV/cell
- Space-group type: Pmmn (59)

a = 4.886 Å, b = 8.379 Å, c = 15.818 Å
α = 90.00°, β = 90.00°, γ = 90.00°
Fractional coordinates of all 24 atoms:
Sn 0.500 0.414 0.653
Sn 0.000 0.586 0.847
Sn 0.000 0.915 0.597
Sn 0.500 0.085 0.903
Sn 0.500 0.085 0.097
Sn 0.500 0.414 0.347
Sn 0.000 0.915 0.403
Sn 0.000 0.586 0.153
Sr 0.000 0.211 0.753
Sr 0.000 0.211 0.247
Sr 0.000 0.295 0.500
Sr 0.000 0.296 0.000
Sr 0.500 0.705 0.000
Sr 0.500 0.789 0.747
Sr 0.500 0.704 0.500
Sr 0.500 0.789 0.253
Au 0.500 0.086 0.610
Au 0.000 0.585 0.650
Au 0.500 0.086 0.390
Au 0.000 0.585 0.350
Au 0.000 0.914 0.110
Au 0.500 0.415 0.150
Au 0.500 0.415 0.850
Au 0.000 0.914 0.890


Here is Ce2YLu after structural relaxation from Alexandria. Energies are from PBE.

## Properties
- Calculated total energy: -0.2023 Ha/atom
- Density of states at the Fermi level: 13.8 states/eV/cell
- Space-group type: Fm-3m (225)

a = 5.611 Å, b = 5.611 Å, c = 5.611 Å
α = 60.00°, β = 60.00°, γ = 60.00°
Last column: magnetic moment on the atom in μB.
Fractional coordinates of all 4 atoms:
Lu 0.000 0.000 0.000  0.01
Ce 0.250 0.250 0.250  0.62
Ce 0.750 0.750 0.750  0.62
Y 0.500 0.500 0.500  0.05


Here is Ti8Sb3 after structural relaxation from Alexandria. Energies are from PBE.

## Properties
- Formation energy from raw total energies: 1.99 eV per formula unit
- Density of states at the Fermi level: 14.2 states/eV/cell
- Space-group type: R-3 (148)

a = 6.141 Å, b = 6.141 Å, c = 6.141 Å
α = 91.35°, β = 91.35°, γ = 91.35°
Last column: magnetic moment on the atom in μB.
Fractional coordinates of all 11 atoms:
Sb 0.500 0.500 0.000  0.00
Sb 0.000 0.500 0.500  0.00
Sb 0.500 0.000 0.500  0.00
Ti 0.303 0.102 0.907  0.04
Ti 0.633 0.633 0.633  0.38
Ti 0.907 0.303 0.102  0.04
Ti 0.898 0.093 0.697  0.04
Ti 0.093 0.697 0.898  0.04
Ti 0.367 0.367 0.367  0.38
Ti 0.102 0.907 0.303  0.04
Ti 0.697 0.898 0.093  0.04


Here is MnHgIN2 after structural relaxation from Alexandria. Energies are from PBE.

## Properties
- Formation energy from raw total energies: 4.93 eV per formula unit
- Density of states at the Fermi level: 2.2 states/eV/cell
- Space-group type: P4/mmm (123)

a = 3.866 Å, b = 3.866 Å, c = 5.699 Å
α = 90.00°, β = 90.00°, γ = 90.00°
Last column: magnetic moment on the atom in μB.
Fractional coordinates of all 5 atoms:
Hg 0.500 0.500 0.500  0.00
Mn 0.000 0.000 0.000  0.27
I 0.000 0.000 0.500  0.01
N 0.000 0.500 0.000  -0.04
N 0.500 0.000 0.000  -0.04


Here is MgOsPt3 after structural relaxation from Alexandria. Energies are from PBE.

## Properties
- Calculated total energy: -0.1747 Ha/atom
- Density of states at the Fermi level: 8.0 states/eV/cell
- Space-group type: Pm-3m (221)

a = 4.517 Å, b = 4.517 Å, c = 4.517 Å
α = 90.00°, β = 90.00°, γ = 90.00°
Last column: magnetic moment on the atom in μB.
Fractional coordinates of all 5 atoms:
Pt 0.000 0.500 0.000  0.21
Pt 0.500 0.000 0.000  0.35
Pt 0.000 0.000 0.500  0.09
Os 0.500 0.500 0.500  2.15
Mg 0.000 0.000 0.000  -0.01


Here is Cs3La3ZrTe8 after structural relaxation from Alexandria. Energies are from PBE.

## Properties
- Formation energy from raw total energies: -20.32 eV per formula unit
- Space-group type: R-3m (166)

a = 9.222 Å, b = 9.224 Å, c = 10.575 Å
α = 115.89°, β = 90.00°, γ = 119.99°
Fractional coordinates of all 15 atoms:
Te 0.215 0.970 0.685
Te 0.785 0.569 0.315
Te 0.733 0.466 0.698
Te 0.785 0.030 0.315
Te 0.267 0.534 0.302
Te 0.754 0.970 0.685
Te 0.246 0.030 0.315
Te 0.215 0.431 0.685
La 0.500 0.500 0.500
La 0.000 0.500 0.500
La 0.500 0.000 0.500
Cs 0.000 0.500 0.000
Cs 0.500 0.500 0.000
Cs 0.000 0.000 0.000
Zr 0.000 0.000 0.500


Here is Li2ZnCd2Pd5 after structural relaxation from Alexandria. Energies are from PBE.

## Properties
- Calculated total energy: -0.1346 Ha/atom
- Density of states at the Fermi level: 6.1 states/eV/cell
- Space-group type: P4/mbm (127)

a = 3.546 Å, b = 9.325 Å, c = 9.325 Å
α = 90.00°, β = 90.00°, γ = 90.00°
Fractional coordinates of all 20 atoms:
Pd 0.500 0.800 0.929
Pd 0.500 0.000 0.500
Pd 0.500 0.929 0.200
Pd 0.500 0.500 0.000
Pd 0.500 0.700 0.429
Pd 0.500 0.429 0.300
Pd 0.500 0.200 0.071
Pd 0.500 0.571 0.700
Pd 0.500 0.071 0.800
Pd 0.500 0.300 0.571
Li 0.000 0.376 0.124
Li 0.000 0.624 0.876
Li 0.000 0.124 0.624
Li 0.000 0.876 0.376
Cd 0.000 0.674 0.174
Cd 0.000 0.826 0.674
Cd 0.000 0.174 0.326
Cd 0.000 0.326 0.826
Zn 0.000 0.000 0.000
Zn 0.000 0.500 0.500


Here is GeBi3Pd4 after structural relaxation from Alexandria. Energies are from PBE.

## Properties
- Calculated total energy: -0.1767 Ha/atom
- Density of states at the Fermi level: 3.8 states/eV/cell
- Space-group type: Imm2 (44)

a = 6.447 Å, b = 6.447 Å, c = 6.447 Å
α = 79.71°, β = 126.07°, γ = 126.14°
Fractional coordinates of all 8 atoms:
Bi 0.597 0.295 0.892
Bi 0.887 0.000 0.887
Bi 0.597 0.705 0.302
Pd 0.109 0.252 0.361
Pd 0.090 0.755 0.334
Pd 0.579 0.245 0.334
Pd 0.109 0.748 0.857
Ge 0.185 0.500 0.685


Here is HfAl2AgN after structural relaxation from Alexandria. Energies are from PBE.

## Properties
- Formation energy from raw total energies: 1.30 eV per formula unit
- Density of states at the Fermi level: 5.4 states/eV/cell
- Space-group type: P4/mmm (123)

a = 4.160 Å, b = 4.504 Å, c = 4.160 Å
α = 90.00°, β = 90.00°, γ = 90.00°
Fractional coordinates of all 5 atoms:
Ag 0.000 0.500 0.000
Hf 0.500 0.500 0.500
Al 0.500 0.000 0.000
Al 0.000 0.000 0.500
N 0.000 0.000 0.000


Here is TaAl2Sb after structural relaxation from Alexandria. Energies are from PBE.

## Properties
- Formation energy from raw total energies: 0.60 eV per formula unit
- Density of states at the Fermi level: 3.2 states/eV/cell
- Space-group type: I-4m2 (119)

a = 5.326 Å, b = 5.326 Å, c = 5.326 Å
α = 135.26°, β = 135.26°, γ = 65.13°
Fractional coordinates of all 4 atoms:
Ta 0.750 0.250 0.500
Sb 0.500 0.500 0.000
Al 0.000 0.000 0.000
Al 0.250 0.750 0.500


Here is Pm4TmSc2 after structural relaxation from Alexandria. Energies are from PBE.

## Properties
- Calculated total energy: -0.1840 Ha/atom
- Density of states at the Fermi level: 24.3 states/eV/cell
- Space-group type: P2_1/m (11)

a = 5.536 Å, b = 6.847 Å, c = 11.832 Å
α = 90.00°, β = 103.53°, γ = 90.00°
Fractional coordinates of all 14 atoms:
Pm 0.217 0.750 0.436
Pm 0.783 0.250 0.564
Pm 0.356 0.997 0.712
Pm 0.356 0.503 0.712
Pm 0.644 0.003 0.288
Pm 0.644 0.497 0.288
Pm 0.935 0.750 0.865
Pm 0.065 0.250 0.135
Tm 0.079 0.750 0.154
Tm 0.921 0.250 0.846
Sc 0.504 0.750 0.004
Sc 0.209 0.250 0.417
Sc 0.791 0.750 0.583
Sc 0.496 0.250 0.996


Here is SrMnTc2Sn after structural relaxation from Alexandria. Energies are from PBE.

## Properties
- Calculated total energy: -0.1512 Ha/atom
- Density of states at the Fermi level: 12.8 states/eV/cell
- Space-group type: P4/mmm (123)

a = 4.795 Å, b = 5.625 Å, c = 4.795 Å
α = 90.00°, β = 90.00°, γ = 90.00°
Last column: magnetic moment on the atom in μB.
Fractional coordinates of all 5 atoms:
Tc 0.000 0.000 0.500  1.23
Tc 0.500 0.000 0.000  1.51
Mn 0.500 0.500 0.500  -0.21
Sr 0.000 0.000 0.000  -0.05
Sn 0.000 0.500 0.000  -0.07


Here is Zr3HgOs after structural relaxation from Alexandria. Energies are from PBE.

## Properties
- Calculated total energy: -0.2616 Ha/atom
- Density of states at the Fermi level: 8.6 states/eV/cell
- Space-group type: Pm-3m (221)

a = 5.060 Å, b = 5.060 Å, c = 5.060 Å
α = 90.00°, β = 90.00°, γ = 90.00°
Fractional coordinates of all 5 atoms:
Hg 0.500 0.500 0.500
Zr 0.500 0.000 0.000
Zr 0.000 0.000 0.500
Zr 0.000 0.500 0.000
Os 0.000 0.000 0.000


Here is Be2TcIr after structural relaxation from Alexandria. Energies are from PBE.

## Properties
- Calculated total energy: -0.2473 Ha/atom
- Density of states at the Fermi level: 3.9 states/eV/cell
- Space-group type: Pmmm (47)

a = 2.867 Å, b = 4.491 Å, c = 3.702 Å
α = 90.00°, β = 90.00°, γ = 90.00°
Fractional coordinates of all 4 atoms:
Be 0.500 0.500 0.000
Be 0.000 0.000 0.000
Tc 0.000 0.500 0.500
Ir 0.500 0.000 0.500


Here is Sr2Mg6Tl3 after structural relaxation from Alexandria. Energies are from PBE.

## Properties
- Calculated total energy: -0.0727 Ha/atom
- Density of states at the Fermi level: 6.4 states/eV/cell
- Space-group type: P-62m (189)

a = 4.744 Å, b = 8.809 Å, c = 8.809 Å
α = 120.00°, β = 90.00°, γ = 90.00°
Fractional coordinates of all 11 atoms:
Mg 0.500 0.271 0.000
Mg 0.000 0.199 0.199
Mg 0.000 0.801 0.000
Mg 0.000 0.000 0.801
Mg 0.500 0.729 0.729
Mg 0.500 0.000 0.271
Sr 0.000 0.333 0.667
Sr 0.000 0.667 0.333
Tl 0.500 0.000 0.605
Tl 0.500 0.395 0.395
Tl 0.500 0.605 0.000


Here is Pr4SiHgBr2 after structural relaxation from Alexandria. Energies are from PBE.

## Properties
- Formation energy from raw total energies: -7.34 eV per formula unit
- Density of states at the Fermi level: 4.5 states/eV/cell
- Space-group type: P2/m (10)

a = 4.322 Å, b = 7.745 Å, c = 7.567 Å
α = 108.63°, β = 90.00°, γ = 90.00°
Fractional coordinates of all 8 atoms:
Br 0.500 0.000 0.500
Br 0.000 0.500 0.500
Hg 0.000 0.000 0.000
Pr 0.000 0.272 0.775
Pr 0.500 0.257 0.235
Pr 0.000 0.728 0.225
Pr 0.500 0.743 0.765
Si 0.500 0.500 0.000


Here is KMgPb2 after structural relaxation from Alexandria. Energies are from PBE.

## Properties
- Calculated total energy: -0.0962 Ha/atom
- Density of states at the Fermi level: 1.6 states/eV/cell
- Space-group type: P2/m (10)

a = 4.972 Å, b = 3.647 Å, c = 7.593 Å
α = 76.46°, β = 90.00°, γ = 90.00°
Fractional coordinates of all 4 atoms:
Mg 0.500 0.750 0.750
K 0.500 0.250 0.250
Pb 0.000 0.941 0.939
Pb 0.000 0.559 0.561


Here is Na2TlAs after structural relaxation from Alexandria. Energies are from PBE.

## Properties
- Calculated total energy: -0.0951 Ha/atom
- Density of states at the Fermi level: 2.5 states/eV/cell
- Space-group type: P4/mmm (123)

a = 4.633 Å, b = 4.570 Å, c = 4.570 Å
α = 90.00°, β = 90.00°, γ = 90.00°
Fractional coordinates of all 4 atoms:
Tl 0.500 0.500 0.500
As 0.500 0.000 0.000
Na 0.000 0.000 0.500
Na 0.000 0.500 0.000


Here is Tl7Sn5 after structural relaxation from Alexandria. Energies are from PBE.

## Properties
- Calculated total energy: -0.1113 Ha/atom
- Density of states at the Fermi level: 5.0 states/eV/cell
- Space-group type: Cm (8)

a = 4.908 Å, b = 7.611 Å, c = 10.671 Å
α = 73.60°, β = 76.70°, γ = 71.19°
Fractional coordinates of all 12 atoms:
Tl 0.502 0.495 0.502
Tl 0.414 0.925 0.247
Tl 0.004 0.989 0.003
Tl 0.247 0.754 0.751
Tl 0.828 0.840 0.504
Tl 0.087 0.579 0.247
Tl 0.165 0.168 0.503
Sn 0.754 0.260 0.233
Sn 0.565 0.105 0.765
Sn 0.919 0.407 0.755
Sn 0.331 0.337 0.000
Sn 0.684 0.642 0.990


Here is KIrRu after structural relaxation from Alexandria. Energies are from PBE.

## Properties
- Calculated total energy: -0.2168 Ha/atom
- Density of states at the Fermi level: 6.8 states/eV/cell
- Space-group type: P1 (1)

a = 13.053 Å, b = 4.034 Å, c = 2.766 Å
α = 90.00°, β = 86.66°, γ = 85.46°
Fractional coordinates of all 6 atoms:
Ir 0.059 0.596 0.135
Ir 0.279 0.786 0.075
Ru 0.213 0.310 0.593
Ru 0.996 0.118 0.653
K 0.467 0.242 0.523
K 0.803 0.660 0.205


Here is NaLiN2F after structural relaxation from Alexandria. Energies are from PBE.

## Properties
- Formation energy from raw total energies: 4.16 eV per formula unit
- Density of states at the Fermi level: 1.9 states/eV/cell
- Space-group type: P4/mmm (123)

a = 4.614 Å, b = 4.614 Å, c = 4.183 Å
α = 90.00°, β = 90.00°, γ = 90.00°
Last column: magnetic moment on the atom in μB.
Fractional coordinates of all 5 atoms:
Na 0.000 0.000 0.000  0.03
N 0.000 0.500 0.000  1.60
N 0.500 0.000 0.000  1.60
F 0.000 0.000 0.500  0.15
Li 0.500 0.500 0.500  0.00


Here is Pa3GeP4N12 after structural relaxation from Alexandria. Energies are from PBE.

## Properties
- Formation energy from raw total energies: -11.89 eV per formula unit
- Density of states at the Fermi level: 4.5 states/eV/cell
- Space-group type: R32 (155)

a = 6.923 Å, b = 6.923 Å, c = 6.923 Å
α = 103.60°, β = 103.60°, γ = 103.60°
Fractional coordinates of all 20 atoms:
Pa 0.459 0.000 0.541
Pa 0.541 0.459 0.000
Pa 0.000 0.541 0.459
N 0.023 0.632 0.801
N 0.500 0.354 0.646
N 0.354 0.646 0.500
N 0.105 0.895 0.500
N 0.632 0.801 0.023
N 0.368 0.977 0.199
N 0.977 0.199 0.368
N 0.500 0.105 0.895
N 0.199 0.368 0.977
N 0.646 0.500 0.354
N 0.895 0.500 0.105
N 0.801 0.023 0.632
P 0.500 0.958 0.042
P 0.958 0.042 0.500
P 0.500 0.500 0.500
P 0.042 0.500 0.958
Ge 0.000 0.000 0.000